# 1
ZnRe2Tc | PBE | optimized geometry

```
4
Lattice="-2.5305 -0.5790 0.6987 1.8391 -1.6557 1.0503 0.7531 5.4117 7.2122" Properties=species:S:1:pos:R:3 pbc="T T T"
Re 0.0021 0.0151 0.0201
Re 0.3745 2.6908 3.5860
Tc -0.1574 0.2356 2.6776
Zn 0.2192 2.9415 6.2837
```

- crystal system = orthorhombic
- density (Mg/m³) = 14.917
- formation energy (eV/atom) = 0.256

---

# 2
ZnReTc2 | PBE | optimized geometry

```
4
Lattice="-6.8262 3.7857 -4.6814 -6.6293 1.4209 -6.0726 -8.1369 1.5435 -3.7751" Properties=species:S:1:pos:R:3 pbc="T T T"
Re -16.1622 5.0525 -10.8753
Tc -21.5819 6.7468 -14.5221
Tc -5.4284 1.6970 -3.6527
Zn -10.8084 3.3789 -7.2728
```

- crystal system = trigonal
- density (Mg/m³) = 12.657
- formation energy (eV/atom) = 0.076

---

# 3
ZnReTc2 | PBE | optimized geometry

```
4
Lattice="5.1112 -0.0021 -0.0036 2.3879 4.5192 0.0036 -3.3274 -2.9594 2.5090" Properties=species:S:1:pos:R:3 pbc="T T T"
Re 1.3756 1.8914 1.2563
Tc 0.0123 0.0074 0.0000
Tc 2.7850 -0.3404 1.2527
Zn 3.7484 2.2578 0.0000
```

- crystal system = orthorhombic
- density (Mg/m³) = 12.817
- formation energy (eV/atom) = 0.132

---

# 4
ZnRe2Tc | PBE | optimized geometry

```
8
Lattice="-6.8418 -0.6281 -2.1589 0.5559 -7.1730 0.3252 -3.9240 -3.8495 1.5435" Properties=species:S:1:pos:R:3 pbc="T T T"
Re -5.4343 -2.2742 -1.0006
Re -1.2422 -5.5014 0.3971
Re -5.3203 -5.5540 0.4583
Re -8.4232 -9.9716 -0.4351
Zn -3.1430 -3.9005 -0.9168
Zn -3.2555 -7.4615 0.4760
Tc 0.0000 0.0000 0.0000
Tc -6.9544 -4.1891 -0.7661
```

- crystal system = tetragonal
- density (Mg/m³) = 13.289
- formation energy (eV/atom) = 0.891

---

# 5
ZnRe4Tc | PBE | optimized geometry

```
6
Lattice="4.6037 -1.6911 1.5495 0.9318 -5.0519 0.2546 3.2011 -2.1978 -3.3730" Properties=species:S:1:pos:R:3 pbc="T T T"
Zn 0.0000 0.0000 0.0000
Re 5.5858 -4.1966 0.1926
Re 4.8800 -4.4516 -2.2844
Re 3.7381 -5.8877 -0.4590
Re 3.2692 -3.3456 -0.5871
Tc 6.5524 -6.7056 -1.1767
```

- crystal system = cubic
- density (Mg/m³) = 15.675
- formation energy (eV/atom) = 0.470

---

# 6
ZnRe2Tc | PBE | optimized geometry

```
4
Lattice="-1.4589 -0.3577 -3.7117 -1.3630 -2.2756 0.7551 -5.5099 0.7143 2.0969" Properties=species:S:1:pos:R:3 pbc="T T T"
Re -5.4857 0.7087 2.0879
Re -3.4606 -0.7751 1.4349
Tc -2.4477 -0.5692 -1.1428
Zn -5.8841 -1.3499 0.2831
```

- crystal system = monoclinic
- density (Mg/m³) = 15.245
- formation energy (eV/atom) = 0.172

---

Question: Look up the density of the third one.
Answer: 12.817 Mg/m³